16
Lattice="4.919 -6.603 0.000 4.919 6.603 0.000 -4.287 0.000 9.962" Properties=species:S:1:pos:R:3 comment="RbSrMnBr5, relaxed, DFT GGA-PBE" rho_g_cm3=3.22 formation_energy_uncorrected_mev_per_atom=-1532.0 final_energy_ev_per_cell=-64.88 sg="No. 15" pbc="T T T"
Rb 1.704 4.584 7.472
Rb 3.848 -4.584 2.491
Sr 4.919 0.000 0.000
Sr 2.776 0.000 4.981
Mn 3.848 4.189 2.491
Mn 1.704 -4.189 7.472
Br -2.290 0.889 9.255
Br 2.163 2.779 3.712
Br -0.146 -0.889 4.274
Br 5.532 2.779 1.269
Br 1.704 1.216 7.472
Br 3.848 -1.216 2.491
Br 0.019 -2.779 8.693
Br 5.698 0.889 5.689
Br 3.388 -2.779 6.250
Br 7.841 -0.889 0.707


12
Lattice="7.100 0.000 0.000 -3.550 6.149 0.000 0.000 0.000 10.314" Properties=species:S:1:pos:R:3 comment="RbSrMn2Br8, relaxed, DFT GGA-PBE" rho_g_cm3=3.40 formation_energy_uncorrected_mev_per_atom=-1192.6 final_energy_ev_per_cell=-48.68 sg="No. 147" pbc="T T T"
Rb 0.000 0.000 0.000
Sr 0.000 0.000 5.157
Mn 0.000 4.099 7.783
Mn 3.550 2.050 2.531
Br -2.354 4.085 3.214
Br 0.000 4.099 10.167
Br 2.386 0.004 7.100
Br 1.189 2.068 3.214
Br 2.361 4.081 7.100
Br 1.164 6.145 3.214
Br 3.550 2.050 0.147
Br 5.904 2.064 7.100